Sc2CdSi | PBE | optimized geometry

Output
Calculated total energy in eV/atom: -4.5411
Density of states at the Fermi level in states/eV/f.u.: 5.81
Magnetic moment in μB/f.u.: 0.0

a = 3.1936 Å, b = 3.1936 Å, c = 31.1657 Å
α = 90.00°, β = 90.00°, γ = 120.00°
Fractional positions:
Sc: 0.0000 0.0000 0.0863
Sc: 0.0000 0.0000 0.9137
Sc: 0.3333 0.6667 0.5804
Sc: 0.3333 0.6667 0.7530
Sc: 0.6667 0.3333 0.2470
Sc: 0.6667 0.3333 0.4196
Cd: 0.0000 0.0000 0.5000
Cd: 0.3333 0.6667 0.1667
Cd: 0.6667 0.3333 0.8333
Si: 0.0000 0.0000 0.0000
Si: 0.3333 0.6667 0.6667
Si: 0.6667 0.3333 0.3333